No. 1
# PBE Dy3ErO, relaxed
# Formation energy without anion corrections in kcal/mol of atoms: -25.54
# Fermi-level density of states in states/eV per atom: 0.974
data_Dy3ErO
_chemical_formula_sum 'Dy3 Er1 O1'
_space_group_name_H-M_alt 'P m -3 m'
_space_group_IT_number 221
_space_group_name_Hall '-P 4 2 3'
_cell_length_a 4.923
_cell_length_b 4.923
_cell_length_c 4.923
_cell_angle_alpha 90.00
_cell_angle_beta 90.00
_cell_angle_gamma 90.00
loop_
_atom_site_label
_atom_site_fract_x
_atom_site_fract_y
_atom_site_fract_z
_atom_site_occupancy
Dy1 0.000 0.000 0.500 1
Er1 0.500 0.500 0.500 1
O1 0.000 0.000 0.000 1


No. 2
# PBE Na4Y3TmTe8, relaxed
# Formation energy without anion corrections in kcal/mol of atoms: -30.48
data_Na4Y3TmTe8
_chemical_formula_sum 'Na12 Y9 Tm3 Te24'
_space_group_name_H-M_alt 'R -3 m'
_space_group_IT_number 166
_space_group_name_Hall '-R 3 2"'
_cell_length_a 8.8374
_cell_length_b 8.8374
_cell_length_c 22.7004
_cell_angle_alpha 90.00
_cell_angle_beta 90.00
_cell_angle_gamma 120.00
loop_
_atom_site_label
_atom_site_fract_x
_atom_site_fract_y
_atom_site_fract_z
_atom_site_occupancy
Na1 0.0000 0.0000 0.0000 1
Na2 0.0000 0.5000 0.0000 1
Y1 0.0000 0.5000 0.5000 1
Tm1 0.0000 0.0000 0.5000 1
Te1 0.0000 0.0000 0.2442 1
Te2 0.0028 0.5014 0.2437 1


No. 3
# PBE ScCuI2, relaxed
# Formation energy without anion corrections in kcal/mol of atoms: -2.13
# Fermi-level density of states in states/eV per atom: 0.094
# Excess energy over the best structure of this formula in the dataset in kJ per mole of atoms: 0.0
data_ScCuI2
_chemical_formula_sum 'Sc4 Cu4 I8'
_space_group_name_H-M_alt 'F m -3 m'
_space_group_IT_number 225
_space_group_name_Hall '-F 4 2 3'
_cell_length_a 7.317
_cell_length_b 7.317
_cell_length_c 7.317
_cell_angle_alpha 90.00
_cell_angle_beta 90.00
_cell_angle_gamma 90.00
loop_
_atom_site_label
_atom_site_fract_x
_atom_site_fract_y
_atom_site_fract_z
_atom_site_occupancy
Sc1 0.000 0.000 0.000 1
Cu1 0.000 0.000 0.500 1
I1 0.250 0.250 0.250 1


No. 4
# PBE TaAg2Te2, relaxed
# Formation energy without anion corrections in kcal/mol of atoms: 12.03
# Fermi-level density of states in states/eV per atom: 0.700
# Excess energy over the best structure of this formula in the dataset in kJ per mole of atoms: 0.0
data_TaAg2Te2
_chemical_formula_sum 'Ta2 Ag4 Te4'
_space_group_name_H-M_alt 'P 4/m b m'
_space_group_IT_number 127
_space_group_name_Hall '-P 4 2ab'
_cell_length_a 7.610
_cell_length_b 7.610
_cell_length_c 3.776
_cell_angle_alpha 90.00
_cell_angle_beta 90.00
_cell_angle_gamma 90.00
loop_
_atom_site_label
_atom_site_fract_x
_atom_site_fract_y
_atom_site_fract_z
_atom_site_occupancy
Ta1 0.000 0.000 0.000 1
Ag1 0.127 0.373 0.000 1
Te1 0.182 0.682 0.500 1


No. 5
# PBE Li2Sc2Sn, relaxed
# Energy of formation from the pure elements in eV per atom: -0.193
# Fermi-level density of states in states/eV per atom: 0.684
data_Li2Sc2Sn
_chemical_formula_sum 'Li4 Sc4 Sn2'
_space_group_name_H-M_alt 'P 4/m b m'
_space_group_IT_number 127
_space_group_name_Hall '-P 4 2ab'
_cell_length_a 6.703
_cell_length_b 6.703
_cell_length_c 4.469
_cell_angle_alpha 90.00
_cell_angle_beta 90.00
_cell_angle_gamma 90.00
loop_
_atom_site_label
_atom_site_fract_x
_atom_site_fract_y
_atom_site_fract_z
_atom_site_occupancy
Li1 0.125 0.375 0.000 1
Sc1 0.186 0.686 0.500 1
Sn1 0.000 0.000 0.000 1


No. 6
# PBE CeTmTeAs, relaxed
# Formation energy without anion corrections in kcal/mol of atoms: -31.43
# Fermi-level density of states in states/eV per atom: 1.745
data_CeTmTeAs
_chemical_formula_sum 'Ce3 Tm3 Te3 As3'
_space_group_name_H-M_alt 'R 3 m'
_space_group_IT_number 160
_space_group_name_Hall 'R 3 -2"'
_cell_length_a 4.1642
_cell_length_b 4.1642
_cell_length_c 22.2536
_cell_angle_alpha 90.00
_cell_angle_beta 90.00
_cell_angle_gamma 120.00
loop_
_atom_site_label
_atom_site_fract_x
_atom_site_fract_y
_atom_site_fract_z
_atom_site_occupancy
Ce1 0.0000 0.0000 0.0000 1
Tm1 0.0000 0.0000 0.1896 1
Te1 0.0000 0.0000 0.4307 1
As1 0.0000 0.0000 0.5923 1


Repeat the second record exactly.
# PBE Na4Y3TmTe8, relaxed
# Formation energy without anion corrections in kcal/mol of atoms: -30.48
data_Na4Y3TmTe8
_chemical_formula_sum 'Na12 Y9 Tm3 Te24'
_space_group_name_H-M_alt 'R -3 m'
_space_group_IT_number 166
_space_group_name_Hall '-R 3 2"'
_cell_length_a 8.8374
_cell_length_b 8.8374
_cell_length_c 22.7004
_cell_angle_alpha 90.00
_cell_angle_beta 90.00
_cell_angle_gamma 120.00
loop_
_atom_site_label
_atom_site_fract_x
_atom_site_fract_y
_atom_site_fract_z
_atom_site_occupancy
Na1 0.0000 0.0000 0.0000 1
Na2 0.0000 0.5000 0.0000 1
Y1 0.0000 0.5000 0.5000 1
Tm1 0.0000 0.0000 0.5000 1
Te1 0.0000 0.0000 0.2442 1
Te2 0.0028 0.5014 0.2437 1